{
  "formula": "Cd2In2Ga",
  "functional": "PBE",
  "state": "optimized geometry",
  "formation_energy_ev_per_atom": 0.158,
  "relative_energy_ev_per_atom": 0.114,
  "cell": [[4.3675, 0.0000, 0.0000], [0.0000, 4.3675, 0.0000], [2.1838, 2.1838, 6.9805]],
  "species": ["Cd", "Cd", "Ga", "In", "In"],
  "fractional_positions": [[0.4019, 0.4019, 0.1961], [0.5981, 0.5981, 0.8039], [0.0000, 0.0000, 0.0000], [0.7500, 0.2500, 0.5000], [0.2500, 0.7500, 0.5000]]
}

{
  "formula": "CdInGa14",
  "functional": "PBE",
  "state": "optimized geometry",
  "formation_energy_ev_per_atom": 0.036,
  "cell": [[6.6861, -0.6140, 0.0000], [-3.1853, 5.9106, 0.0000], [0.0000, 0.0000, 8.5334]],
  "species": ["Cd", "In", "Ga", "Ga", "Ga", "Ga", "Ga", "Ga", "Ga", "Ga", "Ga", "Ga", "Ga", "Ga", "Ga", "Ga"],
  "fractional_positions": [[0.5701, 0.4299, 0.5000], [0.0009, 0.9991, 0.5000], [0.2571, 0.7429, 0.0000], [0.6676, 0.3324, 0.0000], [0.0593, 0.4958, 0.5000], [0.1878, 0.2605, 0.0000], [0.5042, 0.9407, 0.5000], [0.7395, 0.8122, 0.0000], [0.3508, 0.0846, 0.7618], [0.3508, 0.0846, 0.2382], [0.9154, 0.6492, 0.7618], [0.9154, 0.6492, 0.2382], [0.4036, 0.5964, 0.7465], [0.4036, 0.5964, 0.2535], [0.8370, 0.1630, 0.7693], [0.8370, 0.1630, 0.2307]]
}

{
  "formula": "CdInGa",
  "functional": "PBE",
  "state": "optimized geometry",
  "formation_energy_ev_per_atom": 0.056,
  "cell": [[-5.1683, -1.3362, 0.9187], [1.3309, -1.7061, 5.0054], [-1.6397, 8.6749, 3.3928]],
  "species": ["Cd", "Cd", "Cd", "Cd", "Ga", "Ga", "Ga", "Ga", "In", "In", "In", "In"],
  "fractional_positions": [[0.8519, 0.2500, 0.5104], [0.6481, 0.7500, 0.0104], [0.1481, 0.7500, 0.4896], [0.3519, 0.2500, 0.9896], [0.8379, 0.2500, 0.8249], [0.6621, 0.7500, 0.3249], [0.1621, 0.7500, 0.1751], [0.3379, 0.2500, 0.6751], [0.3610, 0.2500, 0.3407], [0.1390, 0.7500, 0.8407], [0.6390, 0.7500, 0.6593], [0.8610, 0.2500, 0.1593]]
}

{
  "formula": "CdIn8Ga2",
  "functional": "PBE",
  "state": "optimized geometry",
  "formation_energy_ev_per_atom": 0.097,
  "relative_energy_ev_per_atom": 0.045,
  "cell": [[-2.8519, 4.3904, -1.2103], [-4.5972, 0.2182, 6.2839], [3.2375, 4.9676, 5.0508]],
  "species": ["Cd", "In", "In", "In", "In", "In", "In", "In", "In", "Ga", "Ga"],
  "fractional_positions": [[0.0000, 0.0000, 0.0000], [0.7820, 0.1964, 0.6471], [0.2180, 0.3529, 0.8036], [0.8824, 0.2420, 0.2420], [0.1176, 0.7580, 0.7580], [0.7820, 0.6471, 0.1964], [0.2180, 0.8036, 0.3529], [0.3099, 0.3805, 0.3805], [0.6901, 0.6195, 0.6195], [0.4556, 0.1222, 0.1222], [0.5444, 0.8778, 0.8778]]
}

{
  "formula": "CdInGa",
  "functional": "PBE",
  "state": "optimized geometry",
  "formation_energy_ev_per_atom": 0.046,
  "cell": [[-2.9510, -0.8605, 0.7029], [-0.2731, -1.3718, -2.8260], [3.9902, -4.8581, 3.7317]],
  "species": ["In", "Ga", "Cd"],
  "fractional_positions": [[0.0026, 0.0026, 0.0052], [0.6717, 0.6717, 0.3433], [0.3257, 0.3257, 0.6515]]
}

{
  "formula": "CdIn3Ga",
  "functional": "PBE",
  "state": "optimized geometry",
  "formation_energy_ev_per_atom": 0.059,
  "relative_energy_ev_per_atom": 0.010,
  "cell": [[-1.7660, -3.9868, -2.9424], [-2.0191, -1.7515, 6.8500], [-5.8688, 3.2610, -0.8960]],
  "species": ["Cd", "Cd", "In", "In", "In", "In", "In", "In", "Ga", "Ga"],
  "fractional_positions": [[0.5271, 0.5266, 0.7500], [0.4729, 0.4734, 0.2500], [0.1206, 0.7210, 0.5059], [0.8794, 0.2790, 0.4941], [0.1206, 0.7210, 0.9941], [0.8794, 0.2790, 0.0059], [0.3025, 0.1153, 0.7500], [0.6975, 0.8847, 0.2500], [0.7199, 0.9166, 0.7500], [0.2801, 0.0834, 0.2500]]
}

{
  "formula": "CdIn3Ga",
  "functional": "PBE",
  "state": "optimized geometry",
  "formation_energy_ev_per_atom": 0.049,
  "relative_energy_ev_per_atom": 0.000,
  "cell": [[-1.6464, 2.7781, -0.1119], [-1.5430, -2.7682, 0.6305], [4.3712, 3.6700, 26.8109]],
  "species": ["Cd", "Cd", "In", "In", "In", "In", "In", "In", "Ga", "Ga"],
  "fractional_positions": [[0.3333, 0.6667, 0.7223], [0.6667, 0.3333, 0.2223], [0.0000, 0.0000, 0.3232], [0.0000, 0.0000, 0.8232], [0.3333, 0.6667, 0.1222], [0.6667, 0.3333, 0.6222], [0.6667, 0.3333, 0.9307], [0.3333, 0.6667, 0.4307], [0.0000, 0.0000, 0.0266], [0.0000, 0.0000, 0.5266]]
}

{
  "formula": "Cd9In2Ga",
  "functional": "PBE",
  "state": "optimized geometry",
  "formation_energy_ev_per_atom": 0.041,
  "cell": [[-4.1091, -0.8912, -1.6284], [1.6672, -3.5109, -2.2856], [-2.4515, -8.0649, 10.6000]],
  "species": ["Cd", "Cd", "Cd", "Cd", "Cd", "Cd", "Cd", "Cd", "Cd", "In", "In", "Ga"],
  "fractional_positions": [[0.5000, 0.5000, 0.0000], [0.5000, 0.5000, 0.3305], [0.5000, 0.5000, 0.6695], [0.5000, 0.0000, 0.1601], [0.5000, 0.0000, 0.5000], [0.5000, 0.0000, 0.8399], [0.0000, 0.5000, 0.1601], [0.0000, 0.5000, 0.5000], [0.0000, 0.5000, 0.8399], [0.0000, 0.0000, 0.3302], [0.0000, 0.0000, 0.6698], [0.0000, 0.0000, 0.0000]]
}